VASP calculation (PBE) on a relaxed structure of CaTe2Br.

Unit cell a=4.075 b=4.458 c=6.914 alpha=90.00 beta=90.00 gamma=90.00
Fractional coordinates of all 4 atoms:
Ca 0.500 0.500 0.750
Te 0.000 0.000 0.950
Te 0.000 0.000 0.550
Br 0.500 0.500 0.250

Summary:
**Formation energy from raw total energies**: -301 kJ/mol of formula units
**Crystal system**: orthorhombic
**VASP energy**: -13.08 eV per cell
**Polymorph energy (0 for the lowest one)**: 268 meV per atom
**N(E_F)**: 2.665 states/eV/cell



VASP calculation (PBE) on a relaxed structure of AlNi2C.

Unit cell a=3.859 b=3.859 c=3.859 alpha=60.00 beta=60.00 gamma=60.00
Fractional coordinates of all 4 atoms:
Ni 0.250 0.250 0.250
Ni 0.750 0.750 0.750
C 0.000 0.000 0.000
Al 0.500 0.500 0.500

Summary:
**Crystal system**: cubic
**VASP energy**: -21.83 eV per cell
**Formation enthalpy at 0 K**: 674 meV/atom
**N(E_F)**: 2.304 states/eV/cell



VASP calculation (PBE) on a relaxed structure of BeTe2As.

Unit cell a=3.805 b=8.582 c=3.825 alpha=90.00 beta=90.00 gamma=90.00
Fractional coordinates of all 4 atoms:
Be 0.000 0.500 0.500
As 0.500 0.000 0.500
Te 0.000 0.000 0.000
Te 0.500 0.500 0.000

Summary:
**Formation energy from raw total energies**: 188 kJ/mol of formula units
**Crystal system**: orthorhombic
**VASP energy**: -12.72 eV per cell
**Polymorph energy (0 for the lowest one)**: 442 meV per atom
**N(E_F)**: 4.187 states/eV/cell



VASP calculation (PBE) on a relaxed structure of NaBe2Cr.

Unit cell a=4.141 b=4.141 c=4.141 alpha=60.00 beta=60.00 gamma=60.00
Fractional coordinates of all 4 atoms:
Cr 0.500 0.500 0.500
Be 0.250 0.250 0.250
Be 0.750 0.750 0.750
Na 0.000 0.000 0.000

Summary:
**Crystal system**: cubic
**VASP energy**: -14.34 eV per cell
**Formation enthalpy at 0 K**: 1014 meV/atom
**Polymorph energy (0 for the lowest one)**: 0 meV per atom
**N(E_F)**: 7.907 states/eV/cell



Which formula does entry 4 have? NaBe2Cr



Which value of N(E_F) does entry 3 give? 4.187 states/eV/cell



The highest N(E_F) belongs to which entry? NaBe2Cr